1.
Nd2Ga4IrPt3 | GGA-PBE | relaxed

Output
Formation enthalpy at 0 K = -0.917 eV per atom
Total magnetic moment = 0.00 μB per cell
Crystal system = tetragonal

Cell lengths 4.2676, 4.2676, 10.5450 Å; angles 90.00, 90.00, 90.00 degrees
Space group P-4m2 (No. 115)
One atom of each set of equivalent atoms:
Nd  0.0000  0.5000  0.2468 [2 per cell]
Ga  0.0000  0.0000  0.5000 [1 per cell]
Ga  0.0000  0.5000  0.8710 [2 per cell]
Ga  0.5000  0.5000  0.5000 [1 per cell]
Ir  0.5000  0.5000  0.0000 [1 per cell]
Pt  0.0000  0.0000  0.0000 [1 per cell]
Pt  0.0000  0.5000  0.6337 [2 per cell]

2.
AcLaO3 | GGA-PBE | relaxed

Output
Formation energy from raw total energies = -3239 meV/atom
Total magnetic moment = 0.00 μB per cell
Crystal system = trigonal

Cell lengths 6.1248, 6.1248, 17.5966 Å; angles 90.00, 90.00, 120.00 degrees
Space group R32 (No. 155, hexagonal axes)
One atom of each set of equivalent atoms:
Ac  0.0000  0.0000  0.1431 [6 per cell]
La  0.0000  0.0000  0.3537 [6 per cell]
O  0.0147  0.2953  0.2508 [18 per cell]

3.
Li2HoSn3Se6 | GGA-PBE | relaxed

Output
Formation energy from raw total energies = -902 meV/atom
Total magnetic moment = 0.00 μB per cell
Crystal system = monoclinic

Cell lengths 7.0982, 12.3175, 7.2409 Å; angles 90.00, 108.90, 90.00 degrees
Space group C2/m (No. 12)
One atom of each set of equivalent atoms:
Li  0.0000  0.1718  0.0000 [4 per cell]
Ho  0.0000  0.5000  0.0000 [2 per cell]
Sn  0.0000  0.0000  0.5000 [2 per cell]
Sn  0.0000  0.3358  0.5000 [4 per cell]
Se  0.2441  0.3357  0.2325 [8 per cell]
Se  0.2480  0.5000  0.7585 [4 per cell]

4.
HgSeCl | GGA-PBE | relaxed

Output
Formation energy from raw total energies = -362 meV/atom
Total magnetic moment = 0.00 μB per cell
Crystal system = triclinic

Cell lengths 4.3456, 6.2374, 7.2967 Å; angles 78.97, 89.94, 70.83 degrees
Space group P-1 (No. 2)
One atom of each set of equivalent atoms:
Hg  0.0815  0.3335  0.2941 [2 per cell]
Se  0.4048  0.6972  0.9110 [2 per cell]
Cl  0.1338  0.2073  0.6496 [2 per cell]

5.
SrV2N4 | GGA-PBE | relaxed

Output
Formation energy from raw total energies = -897 meV/atom
Total magnetic moment = 0.00 μB per cell
Crystal system = cubic

Cell lengths 10.5651, 10.5651, 10.5651 Å; angles 90.00, 90.00, 90.00 degrees
Space group Pa-3 (No. 205)
One atom of each set of equivalent atoms:
Sr  0.0000  0.0000  0.0000 [4 per cell]
Sr  0.1223  0.6223  0.8777 [8 per cell]
V  0.1169  0.2022  0.3550 [24 per cell]
N  0.0208  0.0820  0.2751 [24 per cell]
N  0.1398  0.1436  0.7751 [24 per cell]

6.
LaAg3P | GGA-PBE | relaxed

Output
Formation enthalpy at 0 K = 0.057 eV per atom
Total magnetic moment = 0.00 μB per cell
Crystal system = cubic

Cell lengths 4.8804, 4.8804, 4.8804 Å; angles 90.00, 90.00, 90.00 degrees
Space group Pm-3m (No. 221)
One atom of each set of equivalent atoms:
La  0.0000  0.0000  0.0000 [1 per cell]
Ag  0.0000  0.5000  0.5000 [3 per cell]
P  0.5000  0.5000  0.5000 [1 per cell]